No. 1
VASP calculation (PBE) on crystalline CaHPd3 at its relaxed geometry.

Unit cell a=5.660 b=5.660 c=5.567 alpha=90.00 beta=90.00 gamma=117.39
Atoms (fractional coordinates):
Pd (0.000, 0.000, 0.500)
Pd (0.000, 0.000, 0.000)
Pd (0.078, 0.477, 0.750)
Pd (0.922, 0.523, 0.250)
Pd (0.477, 0.078, 0.250)
Pd (0.523, 0.922, 0.750)
H (0.879, 0.121, 0.750)
H (0.121, 0.879, 0.250)
Ca (0.578, 0.422, 0.750)
Ca (0.422, 0.578, 0.250)

Results
excess energy over the best structure of this formula in the dataset = 0.230 eV per atom

---

No. 2
VASP calculation (PBE) on crystalline CaH3Pd at its relaxed geometry.

Unit cell a=3.784 b=3.784 c=8.671 alpha=77.40 beta=77.40 gamma=90.00
Atoms (fractional coordinates):
H (0.081, 0.800, 0.838)
H (0.200, 0.919, 0.162)
H (0.747, 0.747, 0.507)
H (0.081, 0.362, 0.838)
H (0.253, 0.253, 0.493)
H (0.638, 0.919, 0.162)
Ca (0.857, 0.357, 0.286)
Ca (0.643, 0.143, 0.714)
Pd (0.250, 0.750, 0.500)
Pd (0.000, 0.000, 0.000)

Results
E_tot = -0.2704 Ry/atom

---

No. 3
VASP calculation (PBE) on crystalline CaH3Pd at its relaxed geometry.

Unit cell a=14.300 b=4.999 c=5.257 alpha=90.00 beta=139.75 gamma=90.00
Atoms (fractional coordinates):
Pd (0.958, 0.249, 0.810)
Pd (0.542, 0.749, 0.690)
Pd (0.458, 0.251, 0.310)
Pd (0.042, 0.751, 0.190)
Ca (0.859, 0.752, 0.290)
Ca (0.359, 0.748, 0.790)
Ca (0.141, 0.248, 0.710)
Ca (0.641, 0.252, 0.210)
H (0.131, 0.478, 0.231)
H (0.893, 0.275, 0.370)
H (0.107, 0.725, 0.630)
H (0.369, 0.978, 0.269)
H (0.449, 0.451, 0.576)
H (0.051, 0.951, 0.924)
H (0.393, 0.225, 0.870)
H (0.869, 0.522, 0.769)
H (0.631, 0.022, 0.731)
H (0.949, 0.049, 0.076)
H (0.551, 0.549, 0.424)
H (0.607, 0.775, 0.130)

Results
E_tot = -0.2863 Ry/atom